A relaxed PrSi3Ir3 crystal. Source: Alexandria, functional PBE-GGA.

a = 7.921 Å, b = 7.921 Å, c = 7.921 Å
α = 51.38°, β = 51.38°, γ = 51.38°
Atoms (fractional coordinates):
Pr 0.166 0.166 0.166
Pr 0.834 0.834 0.834
Si 0.111 0.698 0.400
Si 0.302 0.600 0.889
Si 0.400 0.111 0.698
Si 0.600 0.889 0.302
Si 0.698 0.400 0.111
Si 0.889 0.302 0.600
Ir 0.021 0.385 0.739
Ir 0.261 0.979 0.615
Ir 0.385 0.739 0.021
Ir 0.615 0.261 0.979
Ir 0.739 0.021 0.385
Ir 0.979 0.615 0.261

Properties
crystal system	trigonal
E_form (uncorrected)	-0.58	eV per atom
ΔE to the lowest computed polymorph	0.21	eV per formula unit
calculated total energy	-7.38	eV/atom